No. 1
Material: Dy3Hg2Pd6
Method: DFT, PBE
State: optimized geometry

Cell lengths 3.875, 3.875, 15.811 Å; angles 97.04, 97.04, 90.00 degrees
Fractional coordinates of all 11 atoms:
Dy  0.000  0.000  0.000
Dy  0.814  0.814  0.628
Dy  0.186  0.186  0.372
Hg  0.367  0.367  0.735
Hg  0.633  0.633  0.265
Pd  0.068  0.568  0.135
Pd  0.568  0.068  0.135
Pd  0.932  0.432  0.865
Pd  0.432  0.932  0.865
Pd  0.724  0.724  0.448
Pd  0.276  0.276  0.552

Calculated values
DFT formation energy = -525 meV/atom
Calculated density = 10.85 Mg/m³

***

No. 2
Material: Zr2MnCo
Method: DFT, PBE
State: optimized geometry

Cell lengths 3.216, 4.514, 8.900 Å; angles 90.00, 90.00, 90.00 degrees
Fractional coordinates of all 8 atoms:
Zr  0.000  0.250  0.123
Zr  0.000  0.750  0.877
Zr  0.000  0.250  0.627
Zr  0.000  0.750  0.373
Mn  0.500  0.250  0.871
Mn  0.500  0.750  0.129
Co  0.500  0.250  0.377
Co  0.500  0.750  0.623

Calculated values
DFT formation energy = -173 meV/atom
Calculated density = 7.62 Mg/m³

***

No. 3
Material: Zn6Ir2Pt
Method: DFT, PBE
State: optimized geometry

Cell lengths 2.777, 7.286, 7.808 Å; angles 117.81, 111.13, 90.00 degrees
Fractional coordinates of all 9 atoms:
Zn  0.164  0.000  0.664
Zn  0.836  0.335  0.336
Zn  0.836  0.000  0.336
Zn  0.500  0.336  0.000
Zn  0.164  0.665  0.664
Zn  0.500  0.664  0.000
Ir  0.667  0.333  0.667
Ir  0.333  0.667  0.333
Pt  0.000  0.000  0.000

Calculated values
DFT formation energy = -246 meV/atom
Calculated density = 12.65 Mg/m³

***

No. 4
Material: InCoAg2
Method: DFT, PBE
State: optimized geometry

Cell lengths 4.920, 4.920, 5.088 Å; angles 78.28, 78.28, 34.80 degrees
Fractional coordinates of all 4 atoms:
Ag  0.001  0.001  0.986
Ag  0.760  0.760  0.751
Co  0.499  0.499  0.486
In  0.240  0.240  0.277

Calculated values
DFT formation energy = 264 meV/atom
Calculated density = 9.42 Mg/m³

***

No. 5
Material: MnBiSe2
Method: DFT, PBE
State: optimized geometry

Cell lengths 8.219, 8.219, 8.219 Å; angles 31.38, 31.38, 31.38 degrees
Fractional coordinates of all 4 atoms:
Mn  0.000  0.000  0.000
Bi  0.500  0.500  0.500
Se  0.898  0.898  0.898
Se  0.102  0.102  0.102

Calculated values
Energy relative to the elements, uncorrected = 0.16 eV/f.u.
Calculated density = 5.24 Mg/m³

***

No. 6
Material: RbZrSe2F
Method: DFT, PBE
State: optimized geometry

Cell lengths 3.917, 8.126, 9.342 Å; angles 108.34, 90.00, 90.00 degrees
Fractional coordinates of all 10 atoms:
Rb  0.250  0.688  0.301
Rb  0.750  0.312  0.699
Zr  0.250  0.831  0.825
Zr  0.750  0.169  0.175
Se  0.750  0.853  0.639
Se  0.750  0.816  0.032
Se  0.250  0.147  0.361
Se  0.250  0.184  0.968
F  0.250  0.567  0.760
F  0.750  0.433  0.240

Calculated values
Energy relative to the elements, uncorrected = -9.92 eV/f.u.
Calculated density = 4.16 Mg/m³

***

No. 7
Material: PmPu3Co
Method: DFT, PBE
State: optimized geometry

Cell lengths 5.202, 5.202, 5.202 Å; angles 90.00, 90.00, 90.00 degrees
Fractional coordinates of all 5 atoms:
Pm  0.500  0.500  0.500
Co  0.000  0.000  0.000
Pu  0.000  0.500  0.000
Pu  0.000  0.000  0.500
Pu  0.500  0.000  0.000

Calculated values
DFT formation energy = 257 meV/atom
Calculated density = 11.04 Mg/m³

***

No. 8
Material: NdScBi3
Method: DFT, PBE
State: optimized geometry

Cell lengths 6.706, 6.479, 13.836 Å; angles 90.00, 90.00, 90.00 degrees
Fractional coordinates of all 20 atoms:
Nd  0.750  0.488  0.682
Nd  0.250  0.512  0.318
Nd  0.750  0.988  0.318
Nd  0.250  0.012  0.682
Sc  0.500  0.250  0.098
Sc  0.000  0.750  0.902
Sc  0.500  0.750  0.902
Sc  0.000  0.250  0.098
Bi  0.000  0.250  0.497
Bi  0.500  0.750  0.503
Bi  0.000  0.750  0.503
Bi  0.500  0.250  0.497
Bi  0.250  0.131  0.926
Bi  0.750  0.869  0.074
Bi  0.250  0.631  0.074
Bi  0.750  0.369  0.926
Bi  0.250  0.503  0.756
Bi  0.750  0.497  0.244
Bi  0.250  0.003  0.244
Bi  0.750  0.997  0.756

Calculated values
DFT formation energy = -607 meV/atom
Calculated density = 9.02 Mg/m³

***

Question: Which of these has the lowest calculated density?
Answer: RbZrSe2F

***

Question: Among the records above, which one has the lowest calculated density?
Answer: RbZrSe2F